[1]
Below is a geometry-optimized Hg2AsBr structure, with properties calculated at the PBE level.

Cell lengths 3.9705, 3.9621, 7.3745 Å; angles 90.00, 90.00, 90.00 degrees
Closest atoms and distances in Å follow each position.
Element x y z (fractional)
Br (0.5000, 0.5000, 0.8109)  5 Hg 3.10-3.35
As (0.0000, 0.0000, 0.3418)  5 Hg 2.59-2.81
Hg (0.5000, 0.5000, 0.3562)  4 As 2.81
Hg (0.0000, 0.0000, 0.9911)  1 As 2.59

[2]
Below is a geometry-optimized Hg2AsBr structure, with properties calculated at the PBE level.

Cell lengths 7.4569, 7.4569, 4.6093 Å; angles 71.98, 71.98, 26.33 degrees
Closest atoms and distances in Å follow each position.
Element x y z (fractional)
Hg (0.0512, 0.0512, 0.9489)  6 Hg 3.19-3.40, 2 As 3.22
Hg (0.4488, 0.4488, 0.5511)  6 Hg 3.19-3.40, 2 As 3.22
Br (0.2500, 0.2500, 0.2500)  4 As 2.86
As (0.7500, 0.7500, 0.7500)  4 Br 2.86

no.,ΔE to the lowest computed polymorph (meV/atom),D(E_F) (states/eV per cell)
1,154,0.92
2,405,2.43